# MoSI2O, relaxed, DFT PBE+U
data_MoSI2O
_chemical_formula_sum 'Mo1 S1 I2 O1'
_symmetry_space_group_name_H-M 'P 1'
_symmetry_Int_Tables_number 1
_cell_length_a 5.8022
_cell_length_b 5.8022
_cell_length_c 3.6446
_cell_angle_alpha 90.00
_cell_angle_beta 90.00
_cell_angle_gamma 90.00
loop_
_symmetry_equiv_pos_as_xyz
'x,y,z'
loop_
_atom_site_label
_atom_site_fract_x
_atom_site_fract_y
_atom_site_fract_z
_atom_site_occupancy
Mo1 0.0000 0.0000 0.0000 1
S1 0.5000 0.5000 0.5000 1
I1 0.0000 0.5000 0.5000 1
I2 0.5000 0.0000 0.5000 1
O1 0.5000 0.5000 0.0000 1
# Magnetic moment (μB/f.u.): 4.84
# DFT total energy (eV per atom): -3.407
# Calculated density (Mg/m³): 5.38
# Crystal system: tetragonal
# Energy above the most stable polymorph in this dataset (meV/atom): 335